1.
Computed, not measured: Tl3Ni5Br12 after structural relaxation at the GGA-PBE level of DFT.

Cell lengths 14.3831, 14.3831, 14.3831 Å; angles 109.47, 109.47, 109.47 degrees
Closest atoms and distances in Å follow each position.
Fractional positions:
Tl1 0.1250 0.2500 0.3750  8 Br 3.31-3.43
Tl2 0.1250 0.3750 0.7500  8 Br 3.31-3.43
Tl3 0.2500 0.3750 0.1250  8 Br 3.31-3.43
Tl4 0.2500 0.8750 0.6250  8 Br 3.31-3.43
Tl5 0.3750 0.1250 0.2500  8 Br 3.31-3.43
Tl6 0.3750 0.7500 0.1250  8 Br 3.31-3.43
Tl7 0.6250 0.2500 0.8750  8 Br 3.31-3.43
Tl8 0.6250 0.8750 0.7500  8 Br 3.31-3.43
Tl9 0.7500 0.1250 0.3750  8 Br 3.31-3.43
Tl10 0.7500 0.6250 0.8750  8 Br 3.31-3.43
Tl11 0.8750 0.6250 0.2500  8 Br 3.31-3.43
Tl12 0.8750 0.7500 0.6250  8 Br 3.31-3.43
Ni1 0.0000 0.0000 0.0000  6 Br 2.61
Ni2 0.0000 0.0000 0.5000  6 Br 2.61
Ni3 0.0000 0.5000 0.0000  6 Br 2.61
Ni4 0.0000 0.5000 0.5000  6 Br 2.61
Ni5 0.1250 0.7500 0.8750  4 Br 2.41
Ni6 0.1250 0.8750 0.2500  4 Br 2.41
Ni7 0.2500 0.1250 0.8750  4 Br 2.41
Ni8 0.2500 0.6250 0.3750  4 Br 2.41
Ni9 0.3750 0.2500 0.6250  4 Br 2.41
Ni10 0.3750 0.6250 0.7500  4 Br 2.41
Ni11 0.5000 0.0000 0.0000  6 Br 2.61
Ni12 0.5000 0.0000 0.5000  6 Br 2.61
Ni13 0.5000 0.5000 0.0000  6 Br 2.61
Ni14 0.5000 0.5000 0.5000  6 Br 2.61
Ni15 0.6250 0.3750 0.2500  4 Br 2.41
Ni16 0.6250 0.7500 0.3750  4 Br 2.41
Ni17 0.7500 0.3750 0.6250  4 Br 2.41
Ni18 0.7500 0.8750 0.1250  4 Br 2.41
Ni19 0.8750 0.1250 0.7500  4 Br 2.41
Ni20 0.8750 0.2500 0.1250  4 Br 2.41
Br1 0.0106 0.1928 0.1075  2 Ni 2.41-2.61
Br2 0.0106 0.3178 0.9031  2 Ni 2.41-2.61
Br3 0.0853 0.6928 0.6822  2 Ni 2.41-2.61
Br4 0.0853 0.8925 0.4031  2 Ni 2.41-2.61
Br5 0.0969 0.6075 0.4147  2 Ni 2.41-2.61
Br6 0.0969 0.9894 0.6822  2 Ni 2.41-2.61
Br7 0.1075 0.0106 0.1928  2 Ni 2.41-2.61
Br8 0.1075 0.5969 0.9147  2 Ni 2.41-2.61
Br9 0.1822 0.1928 0.5853  2 Ni 2.41-2.61
Br10 0.1822 0.4894 0.5969  2 Ni 2.41-2.61
Br11 0.1928 0.1075 0.0106  2 Ni 2.41-2.61
Br12 0.1928 0.5853 0.1822  2 Ni 2.41-2.61
Br13 0.3072 0.3178 0.9147  2 Ni 2.41-2.61
Br14 0.3072 0.4894 0.3925  2 Ni 2.41-2.61
Br15 0.3178 0.9031 0.0106  2 Ni 2.41-2.61
Br16 0.3178 0.9147 0.3072  2 Ni 2.41-2.61
Br17 0.3925 0.3072 0.4894  2 Ni 2.41-2.61
Br18 0.3925 0.5853 0.9031  2 Ni 2.41-2.61
Br19 0.4031 0.0853 0.8925  2 Ni 2.41-2.61
Br20 0.4031 0.8178 0.5106  2 Ni 2.41-2.61
Br21 0.4147 0.0969 0.6075  2 Ni 2.41-2.61
Br22 0.4147 0.8178 0.8072  2 Ni 2.41-2.61
Br23 0.4894 0.3925 0.3072  2 Ni 2.41-2.61
Br24 0.4894 0.5969 0.1822  2 Ni 2.41-2.61
Br25 0.5106 0.4031 0.8178  2 Ni 2.41-2.61
Br26 0.5106 0.6075 0.6928  2 Ni 2.41-2.61
Br27 0.5853 0.1822 0.1928  2 Ni 2.41-2.61
Br28 0.5853 0.9031 0.3925  2 Ni 2.41-2.61
Br29 0.5969 0.1822 0.4894  2 Ni 2.41-2.61
Br30 0.5969 0.9147 0.1075  2 Ni 2.41-2.61
Br31 0.6075 0.4147 0.0969  2 Ni 2.41-2.61
Br32 0.6075 0.6928 0.5106  2 Ni 2.41-2.61
Br33 0.6822 0.0853 0.6928  2 Ni 2.41-2.61
Br34 0.6822 0.0969 0.9894  2 Ni 2.41-2.61
Br35 0.6928 0.5106 0.6075  2 Ni 2.41-2.61
Br36 0.6928 0.6822 0.0853  2 Ni 2.41-2.61
Br37 0.8072 0.4147 0.8178  2 Ni 2.41-2.61
Br38 0.8072 0.8925 0.9894  2 Ni 2.41-2.61
Br39 0.8178 0.5106 0.4031  2 Ni 2.41-2.61
Br40 0.8178 0.8072 0.4147  2 Ni 2.41-2.61
Br41 0.8925 0.4031 0.0853  2 Ni 2.41-2.61
Br42 0.8925 0.9894 0.8072  2 Ni 2.41-2.61
Br43 0.9031 0.0106 0.3178  2 Ni 2.41-2.61
Br44 0.9031 0.3925 0.5853  2 Ni 2.41-2.61
Br45 0.9147 0.1075 0.5969  2 Ni 2.41-2.61
Br46 0.9147 0.3072 0.3178  2 Ni 2.41-2.61
Br47 0.9894 0.6822 0.0969  2 Ni 2.41-2.61
Br48 0.9894 0.8072 0.8925  2 Ni 2.41-2.61

Computed properties:
- Symmetry: No. 230
- Mass density: 5.4 Mg/m³
- Formation energy from raw total energies: -8.74 kcal/mol of atoms



2.
Computed, not measured: TlNiBr4 after structural relaxation at the GGA-PBE level of DFT.

Cell lengths 6.4552, 6.4552, 6.4552 Å; angles 60.00, 60.00, 60.00 degrees
Closest atoms and distances in Å follow each position.
Fractional positions:
Tl1 0.0000 0.0000 0.0000  12 Br 3.79, 4 Ni 3.95
Ni1 0.2500 0.2500 0.2500  12 Br 3.78, 4 Tl 3.95
Br1 0.1266 0.6245 0.6245  6 Br 3.21-3.24
Br2 0.6245 0.1266 0.6245  6 Br 3.21-3.24
Br3 0.6245 0.6245 0.1266  6 Br 3.21-3.24
Br4 0.6245 0.6245 0.6245  6 Br 3.21-3.24

Computed properties:
- Polymorph energy (0 for the lowest one): 1035 meV/atom
- Symmetry: No. 216
- Mass density: 5.1 Mg/m³
- Formation energy from raw total energies: 14.97 kcal/mol of atoms



3.
Computed, not measured: Tl5Ni2Br12 after structural relaxation at the GGA-PBE level of DFT.

Cell lengths 9.9190, 9.9190, 9.3356 Å; angles 116.19, 116.19, 47.42 degrees
Closest atoms and distances in Å follow each position.
Fractional positions:
Tl1 0.0000 0.0000 0.0000  6 Br 2.77-2.99
Tl2 0.2687 0.2687 0.0378  6 Br 3.26-3.54
Tl3 0.2926 0.2926 0.5623  7 Br 3.29-3.61
Tl4 0.7074 0.7074 0.4377  7 Br 3.29-3.61
Tl5 0.7313 0.7313 0.9622  6 Br 3.26-3.54
Ni1 0.2586 0.7414 0.5000  6 Br 2.43-2.66
Ni2 0.7414 0.2586 0.5000  6 Br 2.43-2.66
Br1 0.0034 0.0034 0.3231  2 Ni 2.66
Br2 0.0962 0.5991 0.3512  1 Ni 2.43
Br3 0.1118 0.6354 0.8884  1 Tl 2.77
Br4 0.3646 0.8882 0.1116  1 Tl 2.77
Br5 0.4009 0.9038 0.6488  1 Ni 2.43
Br6 0.4991 0.4991 0.6793  2 Ni 2.56
Br7 0.5009 0.5009 0.3207  2 Ni 2.56
Br8 0.5991 0.0962 0.3512  1 Ni 2.43
Br9 0.6354 0.1118 0.8884  1 Tl 2.77
Br10 0.8882 0.3646 0.1116  1 Tl 2.77
Br11 0.9038 0.4009 0.6488  1 Ni 2.43
Br12 0.9966 0.9966 0.6769  2 Ni 2.66

Computed properties:
- Symmetry: No. 12
- Mass density: 5.9 Mg/m³
- Formation energy from raw total energies: -12.13 kcal/mol of atoms



no.,total energy (Ha/atom),magnetic moment (μB per atom)
1,-0.11698,0.4547
2,-0.06703,0.4087
3,-0.10341,0.1580